Below is CuP2WO after structural relaxation, with properties calculated at the PBE with a Hubbard U level.

Lattice parameters (Å, degrees): 4.824 4.824 3.793 90.00 90.00 90.00
Positions (direct):
P  0.500  0.000  0.000
P  0.000  0.500  0.000
W  0.000  0.000  0.000
O  0.000  0.000  0.500
Cu  0.500  0.500  0.500

- Magnetization: 0.00 μB per formula unit
- SG: No. 123
- Energy relative to the lowest polymorph listed for this composition: 0 meV per atom